1.
A plane-wave DFT calculation with PBE was carried out for a relaxed structure of Ac4Ni2Sn5.

POSCAR file:
```
Ac4Ni2Sn5
1.0
4.745 0.000 0.000
0.000 7.656 0.368
0.000 -0.294 9.067
Sn Ni Ac
5 2 4
Direct
0.000 0.887 0.863
0.000 0.407 0.648
0.000 0.593 0.352
0.000 0.113 0.137
0.000 0.500 0.000
0.000 0.931 0.385
0.000 0.069 0.615
0.500 0.782 0.137
0.500 0.218 0.863
0.500 0.241 0.395
0.500 0.759 0.605
```

Results
DFT total energy ... -54.0 eV/f.u.
Space group ... P2/m, No. 10

=====

2.
A plane-wave DFT calculation with PBE was carried out for a relaxed structure of AcNiSn3.

POSCAR file:
```
AcNiSn3
1.0
4.964 0.000 0.000
0.000 4.972 0.000
-2.483 -2.486 10.434
Sn Ac Ni
6 2 2
Direct
0.709 0.959 0.918
0.452 0.702 0.405
0.548 0.298 0.595
0.291 0.041 0.082
0.953 0.203 0.406
0.047 0.797 0.594
0.835 0.585 0.170
0.165 0.415 0.830
0.586 0.837 0.673
0.414 0.163 0.327
```

Results
DFT total energy ... -24.1 eV/f.u.
Space group ... Imma, No. 74
ΔE to the lowest computed polymorph ... 0.27 eV/f.u.

=====

3.
A plane-wave DFT calculation with PBE was carried out for a relaxed structure of AcNi2Sn3.

POSCAR file:
```
AcNi2Sn3
1.0
-3.607 1.264 3.993
-5.306 0.268 -4.878
0.559 -6.694 2.625
Sn Ac Ni
6 2 4
Direct
0.750 0.075 0.075
0.750 0.502 0.114
0.250 0.886 0.498
0.750 0.114 0.502
0.250 0.925 0.925
0.250 0.498 0.886
0.250 0.334 0.334
0.750 0.666 0.666
0.000 0.180 0.820
0.500 0.820 0.180
0.500 0.180 0.820
0.000 0.820 0.180
```

Results
DFT total energy ... -29.5 eV/f.u.
Space group ... Cmcm, No. 63
ΔE to the lowest computed polymorph ... 0.92 eV/f.u.